Record 1
An optimized crystal structure of TbHo2TmAs4. Source: Alexandria, functional PBE.

Its calculated density is 8.15 Mg/m³. As for the formation energy: -1.53 eV per atom.

Lattice parameters (Å, degrees): 4.102 7.102 7.101 70.53 90.00 90.00
Sites, in units of the cell vectors:
Tb  0.000  0.500  0.500
Ho  0.500  0.000  0.500
As  0.500  0.249  0.752
As  0.000  0.251  0.248
As  0.500  0.751  0.248
Ho  0.000  0.000  0.000
Tm  0.500  0.500  0.000
As  0.000  0.749  0.752



Record 2
An optimized crystal structure of EuCd2In. Source: Alexandria, functional PBE.

Its calculated density is 7.93 Mg/m³. As for the formation energy: -0.30 eV per atom.

Lattice parameters (Å, degrees): 5.265 5.258 5.262 119.95 120.09 60.00
Each line ends with the local moment (μB).
Sites, in units of the cell vectors:
Cd  0.500  0.500  0.500  0.00
Eu  0.750  0.750  0.250  6.82
In  0.250  0.250  0.750  -0.02
Cd  0.000  0.000  0.000  0.00



Record 3
An optimized crystal structure of Ta5NiIr4. Source: Alexandria, functional PBE.

Its calculated density is 17.78 Mg/m³. As for the formation energy: -0.37 eV per atom.

Lattice parameters (Å, degrees): 3.394 3.394 14.048 90.00 90.00 90.00
Sites, in units of the cell vectors:
Ir  0.000  0.000  0.602
Ir  0.000  0.000  0.398
Ta  0.500  0.500  0.096
Ta  0.500  0.500  0.299
Ta  0.500  0.500  0.500
Ta  0.500  0.500  0.904
Ir  0.000  0.000  0.194
Ni  0.000  0.000  0.000
Ir  0.000  0.000  0.806
Ta  0.500  0.500  0.701



Record 4
An optimized crystal structure of SmTm3Au2. Source: Alexandria, functional PBE.

Its calculated density is 11.21 Mg/m³. As for the formation energy: -0.64 eV per atom. The energy above the lowest structure with this stoichiometry is 0.000 eV/f.u.

Lattice parameters (Å, degrees): 4.923 7.125 8.878 90.00 90.00 90.00
Sites, in units of the cell vectors:
Tm  0.000  0.851  0.672
Tm  0.000  0.486  0.929
Sm  0.500  0.514  0.574
Tm  0.000  0.351  0.328
Au  0.500  0.748  0.854
Au  0.000  0.254  0.656
Au  0.000  0.754  0.344
Tm  0.500  0.648  0.169
Tm  0.000  0.986  0.071
Sm  0.500  0.014  0.426
Au  0.500  0.248  0.146
Tm  0.500  0.148  0.831



Record 5
An optimized crystal structure of Ta2BrOF. Source: Alexandria, functional PBE.

The calculation puts the total energy at -6.048 eV per atom. Its calculated density is 10.34 Mg/m³.

Lattice parameters (Å, degrees): 4.198 4.347 4.198 90.00 90.00 90.00
Sites, in units of the cell vectors:
O  0.000  0.500  0.000
Br  0.500  0.500  0.500
Ta  0.500  0.000  0.000
Ta  0.000  0.000  0.500
F  0.000  0.000  0.000



Record 6
An optimized crystal structure of Sm2MgMn. Source: Alexandria, functional PBE.

Its calculated density is 6.00 Mg/m³. As for the formation energy: 0.07 eV per atom. The energy above the lowest structure with this stoichiometry is 0.000 eV/f.u.

Lattice parameters (Å, degrees): 3.610 3.610 8.062 90.00 90.00 90.00
Each line ends with the local moment (μB).
Sites, in units of the cell vectors:
Sm  0.000  0.000  0.221  -0.21
Sm  0.000  0.000  0.779  -0.21
Mg  0.500  0.500  0.500  0.01
Mn  0.500  0.500  0.000  3.49



Record 7
An optimized crystal structure of Ac5SnS4. Source: Alexandria, functional PBE.

The calculation puts the total energy at -5.829 eV per atom. Its calculated density is 7.47 Mg/m³.

Lattice parameters (Å, degrees): 6.278 7.669 7.669 80.36 65.84 65.84
Sites, in units of the cell vectors:
S  0.607  0.594  0.194
Ac  0.897  0.415  0.793
S  0.201  0.194  0.406
Ac  0.690  0.207  0.415
Ac  0.105  0.585  0.207
Ac  0.501  0.000  0.000
Ac  0.312  0.793  0.585
Sn  0.001  0.000  0.000
S  0.801  0.806  0.594
S  0.395  0.406  0.806



Record 8
An optimized crystal structure of La2TcNi. Source: Alexandria, functional PBE.

Its calculated density is 7.37 Mg/m³. As for the formation energy: -0.05 eV per atom.

Lattice parameters (Å, degrees): 4.315 4.479 5.481 67.61 90.00 90.00
Sites, in units of the cell vectors:
La  0.000  0.972  0.927
Ni  0.000  0.709  0.512
La  0.500  0.280  0.345
Tc  0.500  0.539  0.715



Record 9
An optimized crystal structure of In2IrPb. Source: Alexandria, functional PBE.

Its calculated density is 11.08 Mg/m³. As for the formation energy: 0.16 eV per atom.

Lattice parameters (Å, degrees): 10.369 10.369 10.369 18.13 18.13 18.13
Sites, in units of the cell vectors:
Ir  0.250  0.250  0.250
In  0.517  0.517  0.517
In  0.983  0.983  0.983
Pb  0.750  0.750  0.750



Record 10
An optimized crystal structure of DySc2Nb. Source: Alexandria, functional PBE.

Its calculated density is 6.02 Mg/m³. As for the formation energy: 0.15 eV per atom. The energy above the lowest structure with this stoichiometry is 0.000 eV/f.u.

Lattice parameters (Å, degrees): 3.693 3.693 6.983 90.00 90.00 90.00
Sites, in units of the cell vectors:
Sc  0.000  0.000  0.208
Dy  0.500  0.500  0.500
Nb  0.500  0.500  0.000
Sc  0.000  0.000  0.792



Record 11
An optimized crystal structure of CaCd3Ni. Source: Alexandria, functional PBE.

Its calculated density is 6.35 Mg/m³. As for the formation energy: -0.15 eV per atom. The energy above the lowest structure with this stoichiometry is 0.000 eV/f.u.

Lattice parameters (Å, degrees): 5.909 7.488 7.001 121.98 114.96 90.00
Sites, in units of the cell vectors:
Ca  0.154  0.562  0.498
Cd  0.654  0.562  0.998
Ni  0.528  0.436  0.247
Cd  0.154  0.062  0.998
Cd  0.654  0.062  0.998
Ca  0.154  0.062  0.498
Cd  0.154  0.562  0.998
Cd  0.654  0.255  0.499
Cd  0.653  0.869  0.497
Ni  0.779  0.688  0.749



Record 12
An optimized crystal structure of SrErTm2. Source: Alexandria, functional PBE.

Its calculated density is 7.10 Mg/m³. As for the formation energy: 0.25 eV per atom. The energy above the lowest structure with this stoichiometry is 0.412 eV/f.u.

Lattice parameters (Å, degrees): 3.561 3.561 12.790 82.00 82.00 60.00
Sites, in units of the cell vectors:
Sr  0.000  0.000  0.000
Tm  0.094  0.094  0.719
Tm  0.906  0.906  0.281
Er  0.500  0.500  0.500